VASP calculation (GGA-PBE) on a relaxed structure of Cd3GaMo.

Energy (eV per cell): -11.3
Mass density (g/cm³): 6.34
Total magnetization (μB per formula unit): 4.56
Crystal system: cubic

Lattice parameters (Å, degrees): 5.089 5.089 5.089 90.00 90.00 90.00
Fractional coordinates of all 5 atoms:
1 Cd 0.000 0.000 0.500
2 Cd 0.000 0.500 0.000
3 Cd 0.500 0.000 0.000
4 Ga 0.000 0.000 0.000
5 Mo 0.500 0.500 0.500

=====

VASP calculation (GGA-PBE) on a relaxed structure of Cd3GaMo.

Energy (eV per cell): -11.6
Mass density (g/cm³): 5.31
Total magnetization (μB per formula unit): 2.40
Crystal system: cubic

Lattice parameters (Å, degrees): 5.396 5.396 5.396 90.00 90.00 90.00
Fractional coordinates of all 5 atoms:
1 Cd 0.000 0.000 0.500
2 Cd 0.000 0.500 0.000
3 Cd 0.500 0.000 0.000
4 Ga 0.500 0.500 0.500
5 Mo 0.000 0.000 0.000

=====

VASP calculation (GGA-PBE) on a relaxed structure of Cd2Ga2Mo.

Energy (eV per cell): -15.9
Mass density (g/cm³): 7.72
Total magnetization (μB per formula unit): 1.21
Crystal system: tetragonal

Lattice parameters (Å, degrees): 7.557 7.557 7.557 151.35 151.35 40.97
Fractional coordinates of all 5 atoms:
1 Cd 0.250 0.750 0.500
2 Cd 0.750 0.250 0.500
3 Ga 0.086 0.086 0.000
4 Ga 0.914 0.914 0.000
5 Mo 0.500 0.500 0.000

=====

VASP calculation (GGA-PBE) on a relaxed structure of CdGa2Mo.

Energy (eV per cell): -31.9
Mass density (g/cm³): 7.78
Total magnetization (μB per formula unit): 0.00
Crystal system: tetragonal

Lattice parameters (Å, degrees): 5.835 5.835 5.835 104.15 104.15 120.74
Fractional coordinates of all 8 atoms:
1 Cd 0.000 0.000 0.000
2 Cd 0.750 0.250 0.500
3 Ga 0.134 0.125 0.509
4 Ga 0.375 0.866 0.991
5 Ga 0.616 0.625 0.491
6 Ga 0.875 0.384 0.009
7 Mo 0.250 0.750 0.500
8 Mo 0.500 0.500 0.000